No. 1
Material: Cd2TeW
Method: DFT, GGA-PBE
State: optimized geometry

Cell: 2.927 2.927 10.916 Å, 90.00 90.00 90.00°
Atoms (fractional coordinates):
Cd (0.000, 0.000, 0.198)
Cd (0.000, 0.000, 0.802)
Te (0.500, 0.500, 0.500)
W (0.500, 0.500, 0.000)

Summary:
The value obtained for the density of states at the Fermi level is 2.27 states/eV/cell. Its space group is P4/mmm.



No. 2
Material: AcPmHoEr
Method: DFT, GGA-PBE
State: optimized geometry

Cell: 5.842 5.842 5.842 Å, 60.00 60.00 60.00°
Atoms (fractional coordinates):
Ac (0.000, 0.000, 0.000)
Pm (0.500, 0.500, 0.500)
Ho (0.250, 0.250, 0.250)
Er (0.750, 0.750, 0.750)

Summary:
The value obtained for the density of states at the Fermi level is 7.07 states/eV/cell. As for the energy above the most stable polymorph in this dataset: 47 meV per atom. Its space group is F-43m.



No. 3
Material: CsTlAu2
Method: DFT, GGA-PBE
State: optimized geometry

Cell: 3.998 3.998 7.992 Å, 90.00 90.00 90.00°
Atoms (fractional coordinates):
Cs (0.000, 0.000, 0.000)
Tl (0.000, 0.000, 0.500)
Au (0.500, 0.500, 0.315)
Au (0.500, 0.500, 0.685)

Summary:
The value obtained for the density of states at the Fermi level is 0.69 states/eV/cell. As for the energy above the most stable polymorph in this dataset: 106 meV per atom. Its space group is P4/mmm.



No. 4
Material: ScFeSnIr
Method: DFT, GGA-PBE
State: optimized geometry

Cell: 4.483 4.483 4.483 Å, 60.00 60.00 60.00°
Atoms (fractional coordinates):
Sc (0.000, 0.000, 0.000)
Fe (0.750, 0.750, 0.750)
Sn (0.500, 0.500, 0.500)
Ir (0.250, 0.250, 0.250)

Summary:
The value obtained for the density of states at the Fermi level is 0.37 states/eV/cell. Its space group is F-43m.



No. 5
Material: Pu2NiRh
Method: DFT, GGA-PBE
State: optimized geometry

Cell: 5.864 5.864 5.864 Å, 109.49 108.83 110.09°
Atoms (fractional coordinates):
Pu (0.000, 0.226, 0.226)
Pu (0.000, 0.774, 0.774)
Pu (0.500, 0.226, 0.726)
Pu (0.500, 0.774, 0.274)
Ni (0.469, 0.719, 0.750)
Ni (0.531, 0.281, 0.250)
Rh (0.046, 0.296, 0.750)
Rh (0.954, 0.704, 0.250)

Summary:
The value obtained for the density of states at the Fermi level is 28.67 states/eV/cell. Its space group is Imma.



No. 6
Material: KHgSe
Method: DFT, GGA-PBE
State: optimized geometry

Cell: 6.406 6.406 6.406 Å, 151.07 136.68 52.94°
Atoms (fractional coordinates):
K (0.000, 0.000, 0.000)
Hg (0.317, 0.317, 0.000)
Se (0.657, 0.657, 0.000)

Summary:
The value obtained for the density of states at the Fermi level is 1.88 states/eV/cell. As for the energy above the most stable polymorph in this dataset: 169 meV per atom. Its space group is Imm2.



No. 7
Material: K2TlOs
Method: DFT, GGA-PBE
State: optimized geometry

Cell: 5.293 5.293 5.293 Å, 120.10 120.10 89.83°
Atoms (fractional coordinates):
K (0.000, 0.000, 0.000)
K (0.750, 0.250, 0.500)
Tl (0.500, 0.500, 0.000)
Os (0.250, 0.750, 0.500)

Summary:
The value obtained for the density of states at the Fermi level is 5.88 states/eV/cell. As for the energy above the most stable polymorph in this dataset: 388 meV per atom. Its space group is I-4m2.



No. 8
Material: Ag2Hg
Method: DFT, GGA-PBE
State: optimized geometry

Cell: 6.656 6.656 6.656 Å, 90.00 90.00 90.00°
Atoms (fractional coordinates):
Ag (0.121, 0.121, 0.121)
Ag (0.121, 0.379, 0.621)
Ag (0.379, 0.621, 0.121)
Ag (0.379, 0.879, 0.621)
Ag (0.621, 0.121, 0.379)
Ag (0.621, 0.379, 0.879)
Ag (0.879, 0.621, 0.379)
Ag (0.879, 0.879, 0.879)
Hg (0.000, 0.000, 0.500)
Hg (0.000, 0.500, 0.000)
Hg (0.500, 0.000, 0.000)
Hg (0.500, 0.500, 0.500)

Summary:
The value obtained for the density of states at the Fermi level is 1.37 states/eV/cell. As for the energy above the most stable polymorph in this dataset: 320 meV per atom. Its space group is Pa-3.



No. 9
Material: NaTbSn2
Method: DFT, GGA-PBE
State: optimized geometry

Cell: 4.773 4.773 4.527 Å, 90.00 90.00 90.00°
Atoms (fractional coordinates):
Na (0.000, 0.000, 0.000)
Tb (0.500, 0.500, 0.000)
Sn (0.000, 0.500, 0.500)
Sn (0.500, 0.000, 0.500)

Summary:
The value obtained for the density of states at the Fermi level is 1.40 states/eV/cell. Its space group is P4/mmm.



No. 10
Material: Ta2TcIr
Method: DFT, GGA-PBE
State: optimized geometry

Cell: 3.238 3.238 6.304 Å, 90.00 90.00 90.00°
Atoms (fractional coordinates):
Ta (0.000, 0.000, 0.000)
Ta (0.500, 0.500, 0.281)
Tc (0.000, 0.000, 0.499)
Ir (0.500, 0.500, 0.781)

Summary:
The value obtained for the density of states at the Fermi level is 3.50 states/eV/cell. Its space group is P4mm.



No. 11
Material: Mn2Co2Pb
Method: DFT, GGA-PBE
State: optimized geometry

Cell: 6.945 6.945 2.997 Å, 90.00 90.00 90.00°
Atoms (fractional coordinates):
Mn (0.153, 0.347, 0.000)
Mn (0.347, 0.847, 0.000)
Mn (0.653, 0.153, 0.000)
Mn (0.847, 0.653, 0.000)
Co (0.131, 0.631, 0.500)
Co (0.369, 0.131, 0.500)
Co (0.631, 0.869, 0.500)
Co (0.869, 0.369, 0.500)
Pb (0.000, 0.000, 0.500)
Pb (0.500, 0.500, 0.500)

Summary:
The value obtained for the density of states at the Fermi level is 14.27 states/eV/cell. Its space group is P4/mbm.



No. 12
Material: TlF
Method: DFT, GGA-PBE
State: optimized geometry

Cell: 7.058 7.058 3.840 Å, 90.00 90.00 148.54°
Atoms (fractional coordinates):
Tl (0.136, 0.864, 0.750)
Tl (0.864, 0.136, 0.250)
F (0.318, 0.682, 0.750)
F (0.682, 0.318, 0.250)

Summary:
The value obtained for the density of states at the Fermi level is 0.00 states/eV/cell. As for the energy above the most stable polymorph in this dataset: 8 meV per atom. Its space group is Cmcm.



What did we get for E? Answer: -15.64 -17.55 -10.18 -29.45 -85.44 -6.01 -11.43 -19.57 -15.77 -43.86 -68.82 -15.47 eV per cell, in the order shown.
What did we get for total magnetic moment? Answer: 0.00 0.00 0.00 0.00 10.38 0.00 0.86 0.00 0.00 0.00 7.23 0.00 μB per formula unit, in the order shown.